MgAl3Ni | PBE | relaxed

Geometry as extended XYZ:
```
5
Lattice="4.539 0.000 0.000 0.000 4.539 0.000 0.000 0.000 4.539" Properties=species:S:1:pos:R:3 pbc="T T T"
Mg 0.000 0.000 0.000
Al 0.000 2.270 2.270
Al 2.270 0.000 2.270
Al 2.270 2.270 0.000
Ni 2.270 2.270 2.270
```

The size of the total moment comes out at 0.0 μB per formula unit. Its density of states at the Fermi level is 2.7 states/eV/cell. The calculation puts the excess energy over the best structure of this formula in the dataset at 1.371 eV per formula unit. The value obtained for the formation energy is -0.13 eV/f.u. For the calculated total energy, the calculation gives -3.75 eV/atom. Its space group is Pm-3m. For the volume, the calculation gives 94 Å³/cell.